(1)
Dy8Ge3PtSe4 PBE-GGA relaxed; SG = No. 166; electronic total energy = -92.9 eV/cell; total moment = 0.000 μB per atom; E_form (uncorrected) = -1.391 eV per atom
1.0
8.211 0.000 0.000
0.000 8.305 0.060
-4.105 -4.101 5.809
Dy Se Ge Pt
8 4 3 1
Cartesian
0.000 4.103 2.899
4.105 4.120 2.909
6.157 2.150 0.068
2.052 2.054 5.801
2.053 2.150 0.068
-2.052 2.054 5.801
4.105 0.101 2.970
0.000 0.083 2.960
2.053 -2.050 2.904
-2.053 -2.050 2.904
0.000 0.000 0.000
4.105 0.000 0.000
2.053 2.102 2.934
-2.053 2.102 2.934
4.105 4.152 0.030
0.000 4.152 0.030

---

(2)
Dy2Si4GePt3 PBE-GGA relaxed; SG = No. 115; electronic total energy = -62.7 eV/cell; total moment = 0.000 μB per atom; E_form (uncorrected) = -0.909 eV per atom
1.0
-1.492 -3.368 2.120
3.281 0.240 2.691
-5.184 5.941 5.792
Pt Dy Si Ge
3 2 4 1
Cartesian
-5.300 3.535 6.148
-2.592 2.970 2.896
1.011 0.841 2.049
-2.269 4.601 5.714
-2.020 -0.224 2.483
0.895 -1.564 2.405
-4.053 2.105 4.754
-0.237 2.271 3.443
0.000 0.000 0.000
-1.697 1.406 5.301

---

(3)
Dy2Si3GePt4 PBE-GGA relaxed; SG = No. 115; electronic total energy = -64.6 eV/cell; total moment = 0.000 μB per atom; E_form (uncorrected) = -1.034 eV per atom
1.0
4.238 0.000 0.000
0.000 4.238 0.000
0.000 0.000 9.891
Si Pt Dy Ge
3 4 2 1
Cartesian
0.000 0.000 4.945
0.000 2.119 1.281
2.119 0.000 8.609
2.119 0.000 6.240
0.000 2.119 3.651
0.000 0.000 0.000
2.119 2.119 0.000
0.000 2.119 7.424
2.119 0.000 2.467
2.119 2.119 4.945

---

(4)
SmDy2Ge3Pt4 PBE-GGA relaxed; formation energy from the elements = -0.901 eV/atom; SG = No. 115; electronic total energy = -61.0 eV/cell; total moment = 0.000 μB per atom
1.0
4.241 0.000 0.000
0.000 4.241 0.000
0.000 0.000 11.406
Ge Sm Dy Pt
3 1 2 4
Cartesian
2.121 0.000 9.988
0.000 0.000 5.703
0.000 2.121 1.418
2.121 2.121 5.703
2.121 0.000 2.470
0.000 2.121 8.936
0.000 0.000 0.000
2.121 2.121 0.000
2.121 0.000 7.567
0.000 2.121 3.839

---

> Among the records above, which one has the lowest electronic total energy?

Dy8Ge3PtSe4